Computed, not measured: a relaxed structure of KTaCo2 at the GGA-PBE level of DFT.

As for the uncorrected energy: -5.616 eV/atom. The formation energy comes out at 4.70 eV/f.u.

a = 5.906 Å, b = 5.906 Å, c = 5.906 Å
α = 106.71°, β = 106.71°, γ = 115.14°
Element x y z (fractional)
1 K 0.000 0.000 0.000
2 K 0.750 0.250 0.500
3 Ta 0.250 0.750 0.500
4 Ta 0.500 0.500 0.000
5 Co 0.182 0.625 0.057
6 Co 0.375 0.432 0.557
7 Co 0.568 0.125 0.943
8 Co 0.875 0.818 0.443


Computed, not measured: a relaxed structure of KTaCo2 at the GGA-PBE level of DFT.

As for the uncorrected energy: -6.127 eV/atom. The formation energy comes out at 2.65 eV/f.u.

a = 3.196 Å, b = 3.848 Å, c = 7.180 Å
α = 90.00°, β = 102.65°, γ = 90.00°
Element x y z (fractional)
1 K 0.000 0.000 0.000
2 Ta 0.726 0.500 0.442
3 Co 0.249 0.000 0.488
4 Co 0.348 0.500 0.691


Computed, not measured: a relaxed structure of K2TaCo at the GGA-PBE level of DFT.

As for the uncorrected energy: -3.944 eV/atom. The formation energy comes out at 5.38 eV/f.u.

a = 3.302 Å, b = 4.332 Å, c = 6.081 Å
α = 90.00°, β = 90.00°, γ = 90.00°
Element x y z (fractional)
1 K 0.000 0.000 0.000
2 K 0.500 0.500 0.000
3 Ta 0.000 0.500 0.500
4 Co 0.500 0.000 0.500


Computed, not measured: a relaxed structure of KTaCo3 at the GGA-PBE level of DFT.

As for the uncorrected energy: -5.576 eV/atom. The formation energy comes out at 6.39 eV/f.u.

a = 4.672 Å, b = 4.672 Å, c = 4.672 Å
α = 90.00°, β = 90.00°, γ = 90.00°
Element x y z (fractional)
1 K 0.000 0.000 0.000
2 Ta 0.500 0.500 0.500
3 Co 0.000 0.500 0.500
4 Co 0.500 0.000 0.500
5 Co 0.500 0.500 0.000